A relaxed structure of PPt2Br. Source: the Alexandria database, functional PBE-GGA.

Structure (extended XYZ):
```
4
Lattice="-1.7626 1.7626 6.7265 1.7626 -1.7626 6.7265 1.7626 1.7626 -6.7265" Properties=species:S:1:pos:R:3 pbc="T T T"
P 0.0000 0.0000 0.0000
Pt 1.7626 0.0000 3.3633
Pt 0.0000 0.0000 6.7265
Br 0.0000 1.7626 3.3633
```

Computed properties:
E_form (uncorrected) = 0.563 eV per atom